Material: Y3BiAs2
Method: DFT, PBE-GGA
State: optimized geometry

Uncorrected energy ... -76.133 eV per cell
Calculated formation energy ... -5.49 eV per formula unit
Fermi-level density of states ... 5.3 states/eV/cell

Structure (POSCAR):
```
Y3BiAs2
1.0
2.5684 -6.2454 0.0000
2.5684 6.2454 0.0000
0.0000 0.0000 10.0234
Y Bi As
6 2 4
Direct
0.0999 0.9001 0.7500
0.3724 0.6276 0.5452
0.3724 0.6276 0.9548
0.6276 0.3724 0.0452
0.6276 0.3724 0.4548
0.9001 0.0999 0.2500
0.2158 0.7842 0.2500
0.7842 0.2158 0.7500
0.0000 0.0000 0.0000
0.0000 0.0000 0.5000
0.4689 0.5311 0.2500
0.5311 0.4689 0.7500
```